Here is crystalline Pm6PrSmHo2 at its relaxed geometry from Alexandria. Energies are from PBE-GGA.

Lattice parameters (Å, degrees): 9.726 8.936 8.936 117.34 93.92 93.92
Fractional positions:
Ho  0.547  0.197  0.295
Ho  0.453  0.803  0.705
Ho  0.953  0.705  0.803
Ho  0.047  0.295  0.197
Pm  0.444  0.243  0.889
Pm  0.620  0.488  0.705
Pm  0.056  0.111  0.757
Pm  0.318  0.982  0.435
Pm  0.182  0.565  0.018
Pm  0.818  0.435  0.982
Pm  0.120  0.705  0.488
Pm  0.556  0.757  0.111
Pm  0.380  0.512  0.295
Pm  0.944  0.889  0.243
Pm  0.880  0.295  0.512
Pm  0.682  0.018  0.565
Sm  0.750  0.030  0.970
Sm  0.250  0.970  0.030
Pr  0.250  0.407  0.593
Pr  0.750  0.593  0.407

Computed properties:
Crystal system: monoclinic
Symmetry: C2/c
Uncorrected energy in Ha/atom: -0.169
Density of states at the Fermi level in states/eV per cell: 29.4
ρ in g cm⁻³: 7.2
Magnetic moment in μB per formula unit: 0.00
ΔH_f (0 K) in eV/atom: 0.12